No. 1
A plane-wave DFT calculation with PBE-GGA was carried out for GdDyScTi after structural relaxation.

a b c (Å): 7.4574 7.4574 7.4574
angles (deg): 90.00 90.00 90.00
Atoms (fractional coordinates):
Gd (0.0000, 0.0000, 0.0000)
Gd (0.0000, 0.5000, 0.5000)
Gd (0.5000, 0.0000, 0.5000)
Gd (0.5000, 0.5000, 0.0000)
Dy (0.0000, 0.0000, 0.5000)
Dy (0.0000, 0.5000, 0.0000)
Dy (0.5000, 0.0000, 0.0000)
Dy (0.5000, 0.5000, 0.5000)
Sc (0.2500, 0.2500, 0.7500)
Sc (0.2500, 0.7500, 0.2500)
Sc (0.7500, 0.2500, 0.2500)
Sc (0.7500, 0.7500, 0.7500)
Ti (0.2500, 0.2500, 0.2500)
Ti (0.2500, 0.7500, 0.7500)
Ti (0.7500, 0.2500, 0.7500)
Ti (0.7500, 0.7500, 0.2500)

Results
As for the total DFT energy (no corrections): -128.28 eV per cell.

No. 2
A plane-wave DFT calculation with PBE-GGA was carried out for GdDyScTl after structural relaxation.

a b c (Å): 7.6078 7.6078 7.6078
angles (deg): 90.00 90.00 90.00
Atoms (fractional coordinates):
Gd (0.0000, 0.0000, 0.0000)
Gd (0.0000, 0.5000, 0.5000)
Gd (0.5000, 0.0000, 0.5000)
Gd (0.5000, 0.5000, 0.0000)
Dy (0.0000, 0.0000, 0.5000)
Dy (0.0000, 0.5000, 0.0000)
Dy (0.5000, 0.0000, 0.0000)
Dy (0.5000, 0.5000, 0.5000)
Sc (0.2500, 0.2500, 0.7500)
Sc (0.2500, 0.7500, 0.2500)
Sc (0.7500, 0.2500, 0.2500)
Sc (0.7500, 0.7500, 0.7500)
Tl (0.2500, 0.2500, 0.2500)
Tl (0.2500, 0.7500, 0.7500)
Tl (0.7500, 0.2500, 0.7500)
Tl (0.7500, 0.7500, 0.2500)

Results
As for the total DFT energy (no corrections): -110.73 eV per cell.

Q: Look up the total DFT energy (no corrections) of the first one.
A: -128.28 eV per cell

Q: What is the total DFT energy (no corrections) in the first record?
A: -128.28 eV per cell

Copy entry 1 word for word.
A plane-wave DFT calculation with PBE-GGA was carried out for GdDyScTi after structural relaxation.

a b c (Å): 7.4574 7.4574 7.4574
angles (deg): 90.00 90.00 90.00
Atoms (fractional coordinates):
Gd (0.0000, 0.0000, 0.0000)
Gd (0.0000, 0.5000, 0.5000)
Gd (0.5000, 0.0000, 0.5000)
Gd (0.5000, 0.5000, 0.0000)
Dy (0.0000, 0.0000, 0.5000)
Dy (0.0000, 0.5000, 0.0000)
Dy (0.5000, 0.0000, 0.0000)
Dy (0.5000, 0.5000, 0.5000)
Sc (0.2500, 0.2500, 0.7500)
Sc (0.2500, 0.7500, 0.2500)
Sc (0.7500, 0.2500, 0.2500)
Sc (0.7500, 0.7500, 0.7500)
Ti (0.2500, 0.2500, 0.2500)
Ti (0.2500, 0.7500, 0.7500)
Ti (0.7500, 0.2500, 0.7500)
Ti (0.7500, 0.7500, 0.2500)

Results
As for the total DFT energy (no corrections): -128.28 eV per cell.